[1]
A plane-wave DFT calculation with GGA-PBE was carried out for an optimized crystal structure of LiNdAl2.

Summary:
Its total magnetization is 0.000 μB per formula unit. The value obtained for the energy above the most stable polymorph in this dataset is 0.020 eV/atom. The calculated volume comes out at 84 Å³ per cell. Its total energy is -15.11 eV/cell. The formation energy is -0.235 eV per atom. The calculation puts the density of states at the Fermi level at 0.49 states/eV per atom.

CIF file:
```
data_LiNdAl2
_chemical_formula_sum 'Li1 Nd1 Al2'
_space_group_name_H-M_alt 'P 4/m m m'
_space_group_IT_number 123
_space_group_name_Hall '-P 4 2'
_cell_length_a 3.4153
_cell_length_b 3.4153
_cell_length_c 7.1605
_cell_angle_alpha 90.00
_cell_angle_beta 90.00
_cell_angle_gamma 90.00
loop_
_atom_site_label
_atom_site_type_symbol
_atom_site_fract_x
_atom_site_fract_y
_atom_site_fract_z
Li1 Li 0.0000 0.0000 0.0000
Nd1 Nd 0.0000 0.0000 0.5000
Al1 Al 0.5000 0.5000 0.1943
```

---

[2]
A plane-wave DFT calculation with GGA-PBE was carried out for an optimized crystal structure of Ti12Ge6Pd.

Summary:
Its total magnetization is 0.002 μB per formula unit. The calculated volume comes out at 1083 Å³ per cell. Its total energy is -391.12 eV/cell. The formation energy is -0.144 eV per atom. The calculation puts the density of states at the Fermi level at 0.90 states/eV per atom.

CIF file:
```
data_Ti12Ge6Pd
_chemical_formula_sum 'Ti36 Ge18 Pd3'
_space_group_name_H-M_alt 'R -3'
_space_group_IT_number 148
_space_group_name_Hall '-R 3'
_cell_length_a 11.6189
_cell_length_b 11.6189
_cell_length_c 9.2633
_cell_angle_alpha 90.00
_cell_angle_beta 90.00
_cell_angle_gamma 120.00
loop_
_atom_site_label
_atom_site_type_symbol
_atom_site_fract_x
_atom_site_fract_y
_atom_site_fract_z
Ti1 Ti 0.0323 0.2094 0.3567
Ti2 Ti 0.0631 0.2270 0.8992
Ge1 Ge 0.0416 0.2600 0.6294
Pd1 Pd 0.0000 0.0000 0.0000
```

---

[3]
A plane-wave DFT calculation with GGA-PBE was carried out for an optimized crystal structure of PrNdErPb.

Summary:
Its total magnetization is 0.013 μB per formula unit. The calculated volume comes out at 499 Å³ per cell. Its total energy is -73.68 eV/cell. The formation energy is -0.151 eV per atom. The calculation puts the density of states at the Fermi level at 1.89 states/eV per atom.

CIF file:
```
data_PrNdErPb
_chemical_formula_sum 'Pr4 Nd4 Er4 Pb4'
_space_group_name_H-M_alt 'F -4 3 m'
_space_group_IT_number 216
_space_group_name_Hall 'F -4 2 3'
_cell_length_a 7.9305
_cell_length_b 7.9305
_cell_length_c 7.9305
_cell_angle_alpha 90.00
_cell_angle_beta 90.00
_cell_angle_gamma 90.00
loop_
_atom_site_label
_atom_site_type_symbol
_atom_site_fract_x
_atom_site_fract_y
_atom_site_fract_z
Pr1 Pr 0.0000 0.0000 0.0000
Nd1 Nd 0.0000 0.0000 0.5000
Er1 Er 0.2500 0.2500 0.7500
Pb1 Pb 0.2500 0.2500 0.2500
```

---

[4]
A plane-wave DFT calculation with GGA-PBE was carried out for an optimized crystal structure of K5PbO4.

Summary:
Its total magnetization is 0.635 μB per formula unit. As for the formation energy (no corrections): -1.166 eV per atom. The value obtained for the energy above the most stable polymorph in this dataset is 0.000 eV/atom. The calculated volume comes out at 468 Å³ per cell. Its total energy is -81.37 eV/cell. The calculation puts the density of states at the Fermi level at 0.32 states/eV per atom.

CIF file:
```
data_K5PbO4
_chemical_formula_sum 'K10 Pb2 O8'
_space_group_name_H-M_alt 'P m m n'
_space_group_IT_number 59
_cell_length_a 8.3540
_cell_length_b 8.7630
_cell_length_c 6.3914
_cell_angle_alpha 90.00
_cell_angle_beta 90.00
_cell_angle_gamma 90.00
loop_
_space_group_symop_operation_xyz
'x,y,z'
'-x,-y,-z'
'-x+1/2,-y+1/2,z'
'x+1/2,y+1/2,-z'
'x+1/2,-y,-z'
'-x+1/2,y,z'
'-x,y+1/2,-z'
'x,-y+1/2,z'
loop_
_atom_site_label
_atom_site_type_symbol
_atom_site_fract_x
_atom_site_fract_y
_atom_site_fract_z
K1 K 0.0103 0.0576 0.2418
K2 K 0.2500 0.7500 0.3192
Pb1 Pb 0.2500 0.2500 0.7099
O1 O 0.0245 0.2500 0.9011
O2 O 0.2500 0.0244 0.5277
```

---

[5]
A plane-wave DFT calculation with GGA-PBE was carried out for an optimized crystal structure of TlSbF.

Summary:
Its total magnetization is 0.000 μB per formula unit. As for the formation energy (no corrections): -1.025 eV per atom. The calculated volume comes out at 171 Å³ per cell. Its total energy is -22.87 eV/cell.

CIF file:
```
data_TlSbF
_chemical_formula_sum 'Tl2 Sb2 F2'
_space_group_name_H-M_alt 'P 1 m 1'
_space_group_IT_number 6
_cell_length_a 5.0058
_cell_length_b 4.2129
_cell_length_c 8.3853
_cell_angle_alpha 90.00
_cell_angle_beta 105.16
_cell_angle_gamma 90.00
loop_
_space_group_symop_operation_xyz
'x,y,z'
'x,-y,z'
loop_
_atom_site_label
_atom_site_type_symbol
_atom_site_fract_x
_atom_site_fract_y
_atom_site_fract_z
Tl1 Tl 0.0000 0.0000 0.0000
Tl2 Tl 0.4587 0.5000 0.6966
Sb1 Sb 0.1254 0.5000 0.3221
Sb2 Sb 0.7948 0.0000 0.4069
F1 F 0.1313 0.0000 0.6755
F2 F 0.5438 0.0000 0.1562
```

---

[6]
A plane-wave DFT calculation with GGA-PBE was carried out for an optimized crystal structure of Be2AlSeCl.

Summary:
Its total magnetization is 0.000 μB per formula unit. As for the formation energy (no corrections): 0.751 eV per atom. The value obtained for the energy above the most stable polymorph in this dataset is 0.000 eV/atom. The calculated volume comes out at 107 Å³ per cell. Its total energy is -12.77 eV/cell. The calculation puts the density of states at the Fermi level at 0.95 states/eV per atom.

CIF file:
```
data_Be2AlSeCl
_chemical_formula_sum 'Be2 Al1 Se1 Cl1'
_space_group_name_H-M_alt 'P 4/m m m'
_space_group_IT_number 123
_space_group_name_Hall '-P 4 2'
_cell_length_a 4.7449
_cell_length_b 4.7449
_cell_length_c 4.7621
_cell_angle_alpha 90.00
_cell_angle_beta 90.00
_cell_angle_gamma 90.00
loop_
_atom_site_label
_atom_site_type_symbol
_atom_site_fract_x
_atom_site_fract_y
_atom_site_fract_z
Be1 Be 0.0000 0.5000 0.0000
Al1 Al 0.0000 0.0000 0.0000
Se1 Se 0.0000 0.0000 0.5000
Cl1 Cl 0.5000 0.5000 0.5000
```